Below is a relaxed structure of Ta3WI, with properties calculated at the GGA-PBE level.

* DOS at the Fermi energy: 5.15 states/eV/f.u.
* polymorph energy (0 for the lowest one): 0 meV/atom

Cell lengths 4.9636, 4.9636, 4.9636 Å; angles 90.00, 90.00, 90.00 degrees
Atoms (fractional coordinates):
1 Ta 0.5000 0.0000 0.0000
2 Ta 0.0000 0.5000 0.0000
3 Ta 0.0000 0.0000 0.5000
4 I 0.5000 0.5000 0.5000
5 W 0.0000 0.0000 0.0000

---

Below is a relaxed structure of Pa3P4Ru7, with properties calculated at the GGA-PBE level.

* DOS at the Fermi energy: 8.85 states/eV/f.u.
* calculated formation energy: -869 meV/atom

Cell lengths 3.9690, 7.8099, 8.0729 Å; angles 70.08, 75.77, 75.28 degrees
Atoms (fractional coordinates):
1 P 0.3363 0.5507 0.7768
2 P 0.6637 0.4493 0.2232
3 P 0.8882 0.8883 0.3354
4 P 0.1118 0.1117 0.6646
5 Ru 0.4966 0.2369 0.7700
6 Ru 0.5034 0.7631 0.2300
7 Ru 0.2997 0.8469 0.5536
8 Ru 0.8360 0.4034 0.9245
9 Ru 0.1640 0.5966 0.0755
10 Ru 0.7003 0.1531 0.4464
11 Ru 0.0000 0.0000 0.0000
12 Pa 0.3265 0.1781 0.1690
13 Pa 0.0000 0.5000 0.5000
14 Pa 0.6735 0.8219 0.8310

---

Below is a relaxed structure of Tm4AuSe3, with properties calculated at the GGA-PBE level.

* DOS at the Fermi energy: 4.02 states/eV/f.u.
* VASP energy: -5.420 eV per atom

Cell lengths 3.9419, 7.1350, 7.1350 Å; angles 108.28, 90.00, 90.00 degrees
Atoms (fractional coordinates):
1 Tm 0.5000 0.7533 0.2467
2 Tm 0.0000 0.7574 0.7574
3 Tm 0.0000 0.2426 0.2426
4 Tm 0.5000 0.2467 0.7533
5 Se 0.5000 0.5000 0.5000
6 Se 0.0000 0.5000 0.0000
7 Se 0.0000 0.0000 0.5000
8 Au 0.5000 0.0000 0.0000